(1)
Here is a relaxed NdDy5Ga6 crystal from Alexandria via LeMat-Bulk. Energies are from GGA-PBE.

Calculated values
Space-group type: P2/m, No. 10
Crystal system: monoclinic
Formation enthalpy at 0 K in eV per atom: -0.577
M_tot in μB per atom: 0.00
Density of states at the Fermi level in states/eV/atom: 0.36

The structure in extended XYZ format:
```
12
Lattice="-2.9093 4.1438 -0.3598 -1.7545 -1.8150 -6.7155 -7.4063 -1.8970 2.4477" Properties=species:S:1:pos:R:3 pbc="T T T"
Nd 0.0000 0.0000 0.0000
Ga -6.2353 1.4450 -4.4723
Ga -5.3752 2.3348 -1.1801
Ga -9.3071 -0.2867 0.5601
Ga -2.7630 0.7184 -5.1876
Ga -6.6949 -1.9030 -3.4474
Ga -5.8348 -1.0132 -0.1552
Dy -7.7841 0.5708 -1.9527
Dy -3.4471 0.7431 0.6998
Dy -0.8772 -0.9075 -3.3577
Dy -6.8685 1.5037 1.3881
Dy -4.2859 -0.1390 -2.6748
```

(2)
Here is a relaxed Nd5DyGa6 crystal from Alexandria via LeMat-Bulk. Energies are from GGA-PBE.

Calculated values
Space-group type: P2/m, No. 10
Crystal system: monoclinic
Formation enthalpy at 0 K in eV per atom: -0.559
M_tot in μB per atom: 0.00
Density of states at the Fermi level in states/eV/atom: 0.44

The structure in extended XYZ format:
```
12
Lattice="4.9300 -0.0294 1.6395 0.0396 7.3475 0.0132 -0.0072 -0.0147 8.2223" Properties=species:S:1:pos:R:3 pbc="T T T"
Nd 3.3138 3.6443 6.5422
Nd 1.6849 7.3327 3.2904
Nd 0.0198 3.6737 0.0066
Nd 3.2774 -0.0294 6.5846
Nd 1.6486 3.6590 3.3327
Ga 4.1531 5.5199 4.0713
Ga 4.1327 1.7687 4.0645
Ga 2.4749 1.7920 0.8230
Ga 2.4947 5.5260 0.8296
Ga 0.8297 5.5347 5.8105
Ga 0.8092 1.7834 5.8036
Dy 0.0000 0.0000 0.0000
```

(3)
Here is a relaxed Nd3DyGa2 crystal from Alexandria via LeMat-Bulk. Energies are from GGA-PBE.

Calculated values
Space-group type: Pmc2_1, No. 26
Crystal system: orthorhombic
Formation enthalpy at 0 K in eV per atom: -0.396
M_tot in μB per atom: 0.00
Density of states at the Fermi level in states/eV/atom: 1.06

The structure in extended XYZ format:
```
12
Lattice="5.1426 0.0000 0.0000 0.0000 6.6666 0.0000 0.0000 0.0000 9.6940" Properties=species:S:1:pos:R:3 pbc="T T T"
Nd 0.0000 3.2019 9.2164
Nd 0.0000 6.5352 0.4776
Nd 2.5713 4.5572 1.7015
Nd 2.5713 1.2239 7.9925
Nd 0.0000 2.1020 3.2395
Nd 0.0000 5.4353 6.4544
Dy 2.5713 3.4466 5.3765
Dy 2.5713 0.1133 4.3174
Ga 2.5713 4.7226 8.2393
Ga 2.5713 1.3893 1.4547
Ga 0.0000 1.9695 6.2814
Ga 0.0000 5.3028 3.4126
```

(4)
Here is a relaxed NdDy2Ga crystal from Alexandria via LeMat-Bulk. Energies are from GGA-PBE.

Calculated values
Space-group type: P4/mmm, No. 123
Crystal system: tetragonal
Formation enthalpy at 0 K in eV per atom: -0.232
M_tot in μB per atom: 0.00
Density of states at the Fermi level in states/eV/atom: 1.36

The structure in extended XYZ format:
```
4
Lattice="-4.6427 -0.1867 0.9290 -0.4512 -3.7007 -2.9987 0.8437 -3.0265 3.6082" Properties=species:S:1:pos:R:3 pbc="T T T"
Nd -2.1251 -3.4570 0.7693
Ga -2.3213 -0.0934 0.4645
Dy 0.4219 -1.5133 1.8041
Dy -0.2256 -1.8504 -1.4993
```

(5)
Here is a relaxed NdDy4Ga4 crystal from Alexandria via LeMat-Bulk. Energies are from GGA-PBE.

Calculated values
Space-group type: I4/m, No. 87
Crystal system: tetragonal
Formation enthalpy at 0 K in eV per atom: -0.393
M_tot in μB per atom: 0.00
Density of states at the Fermi level in states/eV/atom: 0.87

The structure in extended XYZ format:
```
18
Lattice="4.8453 0.0000 0.0000 0.0000 9.9993 0.0000 0.0000 0.0000 9.9993" Properties=species:S:1:pos:R:3 pbc="T T T"
Nd 0.0000 0.0000 0.0000
Nd 2.4226 4.9997 4.9997
Dy 2.4228 3.7129 8.5746
Dy 0.0001 6.4244 8.7126
Dy 2.4228 6.2864 1.4247
Dy 4.8452 1.2868 6.4244
Dy 2.4225 8.5746 6.2864
Dy 4.8452 8.7126 3.5749
Dy 0.0001 3.5749 1.2868
Dy 2.4225 1.4247 3.7129
Ga 2.4228 9.2563 1.7625
Ga 2.4228 0.7430 8.2369
Ga 0.0001 6.7621 5.7427
Ga 4.8452 4.2566 6.7621
Ga 4.8452 5.7427 3.2372
Ga 2.4225 1.7625 0.7430
Ga 2.4225 8.2369 9.2563
Ga 0.0001 3.2372 4.2566
```

(6)
Here is a relaxed NdDyGa crystal from Alexandria via LeMat-Bulk. Energies are from GGA-PBE.

Calculated values
Space-group type: P-6m2, No. 187
Crystal system: hexagonal
Formation enthalpy at 0 K in eV per atom: -0.124
M_tot in μB per atom: 0.00
Density of states at the Fermi level in states/eV/atom: 1.66

The structure in extended XYZ format:
```
6
Lattice="4.9241 0.0003 0.0000 2.4623 4.2672 0.0000 -0.0001 0.0001 8.7234" Properties=species:S:1:pos:R:3 pbc="T T T"
Nd 2.1432 2.3932 0.1120
Nd 2.1433 2.3932 4.9324
Dy 4.6053 0.9704 6.8836
Dy 4.6056 3.8152 2.5223
Ga 4.6054 0.9707 1.2254
Ga 4.6055 0.9706 3.8160
```